DFT (meta-GGA SCAN) results for Ba2Sr6Ti7MnO22 at its PBEsol-relaxed geometry.

```
data_Ba2Sr6Ti7MnO22
_cell_length_a 11.054
_cell_length_b 11.090
_cell_length_c 7.801
_cell_angle_alpha 90.00
_cell_angle_beta 90.00
_cell_angle_gamma 90.00
_symmetry_space_group_name_H-M 'C m m 2'
_symmetry_Int_Tables_number 35
_symmetry_space_group_name_Hall 'C 2 -2'
loop_
_atom_site_label
_atom_site_type_symbol
_atom_site_fract_x
_atom_site_fract_y
_atom_site_fract_z
Ba1 Ba 0.248 0.000 0.000
Sr1 Sr 0.000 0.256 0.505
Sr2 Sr 0.000 0.257 0.999
Sr3 Sr 0.244 0.500 0.505
Ti1 Ti 0.000 0.000 0.265
Ti2 Ti 0.000 0.500 0.254
Ti3 Ti 0.000 0.500 0.751
Ti4 Ti 0.250 0.250 0.255
Ti5 Ti 0.250 0.250 0.748
Mn1 Mn 0.000 0.000 0.740
O1 O 0.000 0.500 0.002
O2 O 0.000 0.500 0.502
O3 O 0.121 0.123 0.744
O4 O 0.122 0.123 0.261
O5 O 0.124 0.374 0.256
O6 O 0.124 0.374 0.749
O7 O 0.250 0.250 0.003
O8 O 0.250 0.250 0.502
```

## Properties
The value obtained for the total energy is -1.1705 Ry/atom. The calculation puts the magnetization at 0.094 μB per atom.